Record 1
Density functional theory data (PBE) for a relaxed structure of Rb2AcIO2.

Cell and atoms, written as POSCAR:
```
Rb2AcIO2
1.0
4.881 0.000 0.000
0.000 4.881 0.000
0.000 0.000 7.481
Rb Ac I O
2 1 1 2
Cartesian
0.000 0.000 1.764
0.000 0.000 5.717
2.441 2.441 0.000
2.441 2.441 3.740
0.000 2.441 0.000
2.441 0.000 0.000
```

Calculated values
Calculated volume ... 29.7 A^3/atom


Record 2
Density functional theory data (PBE) for a relaxed structure of AcReIO4.

Cell and atoms, written as POSCAR:
```
AcReIO4
1.0
5.795 -3.754 0.000
5.795 3.754 0.000
-1.640 0.000 7.326
Ac Re I O
2 2 2 8
Cartesian
2.578 0.000 0.974
7.371 0.000 6.352
3.100 0.000 5.349
6.849 0.000 1.977
-0.953 0.000 5.498
10.903 0.000 1.828
2.203 1.294 6.338
2.657 0.000 3.641
5.131 0.000 1.608
2.203 -1.294 6.338
7.746 1.294 0.988
4.819 0.000 5.718
7.292 0.000 3.685
7.746 -1.294 0.988
```

Calculated values
Calculated volume ... 22.8 A^3/atom


Record 3
Density functional theory data (PBE) for a relaxed structure of AcRhI2O8.

Cell and atoms, written as POSCAR:
```
AcRhI2O8
1.0
2.666 1.539 6.786
-2.666 1.539 6.786
0.000 -3.078 6.786
Ac Rh I O
1 1 2 8
Cartesian
0.000 0.000 0.000
0.000 0.000 10.179
0.000 0.000 4.507
0.000 0.000 15.852
-1.635 0.191 8.916
-0.983 -1.321 11.443
0.000 0.000 6.349
0.652 -1.512 8.916
-0.652 1.512 11.443
0.000 0.000 14.010
0.983 1.321 8.916
1.635 -0.191 11.443
```

Calculated values
Calculated volume ... 13.9 A^3/atom


Record 4
Density functional theory data (PBE) for a relaxed structure of AcRh2IO8.

Cell and atoms, written as POSCAR:
```
AcRh2IO8
1.0
4.891 0.000 0.000
0.000 6.833 0.000
-0.239 0.000 4.930
Ac Rh I O
1 2 1 8
Cartesian
0.000 0.000 0.000
2.326 1.767 2.465
2.326 5.067 2.465
0.000 3.417 0.000
1.138 1.939 0.838
1.138 4.894 0.838
1.311 3.417 3.168
1.330 0.000 3.055
3.322 0.000 1.875
3.341 3.417 1.761
3.514 1.939 4.092
3.514 4.894 4.092
```

Calculated values
Calculated volume ... 13.7 A^3/atom


Record 5
Density functional theory data (PBE) for a relaxed structure of Ac8Ru3I4O.

Cell and atoms, written as POSCAR:
```
Ac8Ru3I4O
1.0
7.393 -4.261 0.000
7.393 4.261 0.000
-4.932 0.000 8.672
Ac Ru I O
8 3 4 1
Cartesian
3.727 2.186 5.880
-0.052 0.000 5.887
6.126 2.186 2.792
2.462 0.000 2.690
7.391 0.000 5.982
3.727 -2.186 5.880
9.906 0.000 2.785
6.126 -2.186 2.792
1.230 2.131 4.336
1.230 -2.131 4.336
4.927 0.000 4.336
0.000 0.000 0.000
3.696 2.131 0.000
3.696 -2.131 0.000
7.393 0.000 0.000
-2.466 0.000 4.336
```

Calculated values
Calculated volume ... 34.1 A^3/atom


Record 6
Density functional theory data (PBE) for a relaxed structure of AcS2IO6.

Cell and atoms, written as POSCAR:
```
AcS2IO6
1.0
5.146 -4.852 0.000
5.146 4.852 0.000
-3.893 0.000 7.995
Ac S I O
2 4 2 12
Cartesian
2.226 4.257 5.996
4.173 -4.257 1.999
-0.332 1.484 5.802
1.614 -1.484 1.804
4.785 1.484 6.191
6.731 -1.484 2.193
2.226 0.743 5.996
4.173 -0.743 1.999
-1.094 1.009 4.554
1.324 1.900 2.274
-1.231 1.131 6.945
0.852 -1.009 0.556
0.716 -1.131 2.948
-0.623 -1.900 6.272
7.022 1.900 1.723
5.683 1.131 5.047
5.547 1.009 7.439
7.629 -1.131 1.050
5.075 -1.900 5.721
7.493 -1.009 3.441
```

Calculated values
Calculated volume ... 20.0 A^3/atom


Record 7
Density functional theory data (PBE) for a relaxed structure of Ac2S2IO2.

Cell and atoms, written as POSCAR:
```
Ac2S2IO2
1.0
4.237 0.000 0.000
-2.119 3.669 0.000
0.000 0.000 12.132
Ac S I O
2 2 1 2
Cartesian
0.000 2.446 1.596
2.119 1.223 10.535
0.000 0.000 3.517
0.000 0.000 8.615
0.000 0.000 6.066
0.000 2.446 11.213
2.119 1.223 0.919
```

Calculated values
Calculated volume ... 26.9 A^3/atom


Record 8
Density functional theory data (PBE) for a relaxed structure of AcSbIO4.

Cell and atoms, written as POSCAR:
```
AcSbIO4
1.0
6.484 -3.478 0.000
6.484 3.478 0.000
-1.686 0.000 7.325
Ac Sb I O
2 2 2 8
Cartesian
2.121 0.000 2.366
9.161 0.000 4.959
0.418 0.000 5.493
10.864 0.000 1.832
4.855 0.000 5.987
6.427 0.000 1.338
-0.240 0.000 2.096
3.493 2.049 2.772
2.518 0.000 0.008
7.789 2.049 4.553
3.493 -2.049 2.772
8.764 0.000 7.317
7.789 -2.049 4.553
11.522 0.000 5.229
```

Calculated values
Calculated volume ... 23.6 A^3/atom


Record 9
Density functional theory data (PBE) for a relaxed structure of AcScIO6.

Cell and atoms, written as POSCAR:
```
AcScIO6
1.0
5.482 0.000 0.000
-2.741 4.747 0.000
0.000 0.000 5.356
Ac Sc I O
1 1 1 6
Cartesian
0.000 0.000 0.000
0.000 3.165 2.678
2.741 1.582 2.678
2.036 0.071 3.812
1.079 1.728 1.544
3.446 0.071 1.544
1.784 2.949 3.812
4.402 1.728 3.812
3.697 2.949 1.544
```

Calculated values
Calculated volume ... 15.5 A^3/atom


Record 10
Density functional theory data (PBE) for a relaxed structure of Ac8Si3I3O.

Cell and atoms, written as POSCAR:
```
Ac8Si3I3O
1.0
7.650 -4.412 0.000
7.650 4.412 0.000
-5.105 0.000 8.244
Ac Si I O
8 3 3 1
Cartesian
-0.168 0.000 5.693
3.903 2.348 5.694
6.293 2.348 2.550
2.547 0.000 2.452
7.649 0.000 5.792
3.903 -2.348 5.694
6.293 -2.348 2.550
10.364 0.000 2.551
1.273 2.206 4.122
1.273 -2.206 4.122
5.098 0.000 4.122
0.000 0.000 0.000
3.825 2.206 0.000
3.825 -2.206 0.000
-2.552 0.000 4.122
```

Calculated values
Calculated volume ... 37.1 A^3/atom


no.,formation energy from raw total energies (eV/atom),total energy (eV per atom)
1,-2.0337,-4.952
2,-2.0248,-7.445
3,-0.9492,-5.468
4,-0.9402,-5.942
5,-0.9751,-5.466
6,-1.7091,-6.075
7,-2.0134,-6.005
8,-1.8246,-6.055
9,-2.0917,-6.729
10,-0.9451,-4.861